(1)
# Sn3Br3O

Crystalline Sn3Br3O at its relaxed geometry (GGA-PBE, Alexandria via LeMat-Bulk).

The total energy is -3.84 eV per atom.

Geometry as CIF:
```
data_Sn3Br3O
_cell_length_a 8.516
_cell_length_b 6.004
_cell_length_c 9.177
_cell_angle_alpha 90.00
_cell_angle_beta 102.39
_cell_angle_gamma 90.00
_symmetry_space_group_name_H-M 'P 1'
_symmetry_Int_Tables_number 1
_symmetry_space_group_name_Hall 'P 1'
loop_
_atom_site_label
_atom_site_fract_x
_atom_site_fract_y
_atom_site_fract_z
Sn1 0.084 0.250 0.353
Sn2 0.252 0.750 0.015
Sn3 0.383 0.750 0.716
Sn4 0.617 0.250 0.284
Sn5 0.748 0.250 0.985
Sn6 0.916 0.750 0.647
Br1 0.104 0.750 0.395
Br2 0.187 0.250 0.057
Br3 0.407 0.250 0.688
Br4 0.593 0.750 0.312
Br5 0.813 0.750 0.943
Br6 0.896 0.250 0.605
O1 0.152 0.750 0.777
O2 0.848 0.250 0.223
```

=====

(2)
# NdEr2Pu3Se6

Crystalline NdEr2Pu3Se6 at its relaxed geometry (GGA-PBE, Alexandria via LeMat-Bulk).

The total energy is -8.14 eV per atom.

Geometry as CIF:
```
data_NdEr2Pu3Se6
_cell_length_a 9.217
_cell_length_b 9.217
_cell_length_c 8.254
_cell_angle_alpha 102.56
_cell_angle_beta 102.56
_cell_angle_gamma 25.78
_symmetry_space_group_name_H-M 'P 1'
_symmetry_Int_Tables_number 1
_symmetry_space_group_name_Hall 'P 1'
loop_
_atom_site_label
_atom_site_fract_x
_atom_site_fract_y
_atom_site_fract_z
Nd1 0.000 0.000 0.000
Er1 0.333 0.333 0.664
Er2 0.667 0.667 0.336
Pu1 0.000 0.000 0.500
Pu2 0.336 0.336 0.165
Pu3 0.664 0.664 0.835
Se1 0.169 0.169 0.580
Se2 0.170 0.170 0.092
Se3 0.496 0.496 0.742
Se4 0.504 0.504 0.258
Se5 0.830 0.830 0.908
Se6 0.831 0.831 0.420
```

=====

(3)
# YRu2Se

Crystalline YRu2Se at its relaxed geometry (GGA-PBE, Alexandria via LeMat-Bulk).

The total energy is -7.20 eV per atom.

Geometry as CIF:
```
data_YRu2Se
_cell_length_a 5.505
_cell_length_b 5.505
_cell_length_c 5.505
_cell_angle_alpha 138.73
_cell_angle_beta 138.73
_cell_angle_gamma 59.79
_symmetry_space_group_name_H-M 'P 1'
_symmetry_Int_Tables_number 1
_symmetry_space_group_name_Hall 'P 1'
loop_
_atom_site_label
_atom_site_fract_x
_atom_site_fract_y
_atom_site_fract_z
Y1 0.000 0.000 0.000
Ru1 0.250 0.750 0.500
Ru2 0.750 0.250 0.500
Se1 0.500 0.500 0.000
```

=====

Quick rundown of Fermi-level density of states, same order as above: 0.9 27.5 4.4 states/eV/cell